Compound: Pr6Si2Br3N
Source: Alexandria via LeMat-Bulk
Functional: GGA-PBE
Structure: relaxed

Structure (POSCAR):
```
Pr6Si2Br3N
1.0
3.5572 -6.1528 0.0000
3.5572 6.1528 0.0000
-2.3718 0.0000 7.5296
Pr Si Br N
6 2 3 1
Direct
0.0650 0.3707 0.1960 Pr
0.2388 0.2388 0.8028 Pr
0.3707 0.0650 0.1960 Pr
0.6293 0.9350 0.8040 Pr
0.7612 0.7612 0.1972 Pr
0.9350 0.6293 0.8040 Pr
0.3338 0.6662 0.0000 Si
0.6662 0.3338 0.0000 Si
0.1725 0.8275 0.5000 Br
0.5000 0.5000 0.5000 Br
0.8275 0.1725 0.5000 Br
0.0000 0.0000 0.0000 N
```

Calculated values
density of states at the Fermi level	4.8	states/eV/f.u.
crystal system	monoclinic
E_form (uncorrected)	-111	kJ per mole of atoms
magnetization	0.00	μB/f.u.

***

Compound: LaMgSbI
Source: Alexandria via LeMat-Bulk
Functional: GGA-PBE
Structure: relaxed

Structure (POSCAR):
```
LaMgSbI
1.0
2.3224 1.3408 15.4972
-2.3224 1.3408 15.4972
0.0000 -2.6817 15.4972
La Mg Sb I
2 2 2 2
Direct
0.0818 0.0818 0.0818 La
0.9182 0.9182 0.9182 La
0.3110 0.3110 0.3110 Mg
0.6890 0.6890 0.6890 Mg
0.3741 0.3741 0.3741 Sb
0.6259 0.6259 0.6259 Sb
0.2096 0.2096 0.2096 I
0.7904 0.7904 0.7904 I
```

Calculated values
density of states at the Fermi level	2.6	states/eV/f.u.
crystal system	trigonal
E_form (uncorrected)	-92	kJ per mole of atoms
magnetization	0.00	μB/f.u.

***

Compound: Li5Ga8Ru
Source: Alexandria via LeMat-Bulk
Functional: GGA-PBE
Structure: relaxed

Structure (POSCAR):
```
Li5Ga8Ru
1.0
-3.7345 3.7345 4.1801
3.7345 -3.7345 4.1801
3.7345 3.7345 -4.1801
Li Ga Ru
5 8 1
Direct
0.0000 0.0000 0.0000 Li
0.0342 0.4408 0.8424 Li
0.5592 0.4016 0.5933 Li
0.5984 0.1917 0.1576 Li
0.8083 0.9658 0.4067 Li
0.0967 0.3355 0.4342 Ga
0.2688 0.1739 0.7549 Ga
0.3374 0.9033 0.2388 Ga
0.4191 0.5139 0.2451 Ga
0.4861 0.7312 0.9052 Ga
0.6645 0.0986 0.7612 Ga
0.8261 0.5809 0.0948 Ga
0.9014 0.6626 0.5658 Ga
0.2500 0.7500 0.5000 Ru
```

Calculated values
energy of formation from the pure elements	-0.181	eV per atom
density of states at the Fermi level	5.2	states/eV/f.u.
crystal system	tetragonal
magnetization	0.00	μB/f.u.

***

Compound: GaSbTe2P
Source: Alexandria via LeMat-Bulk
Functional: GGA-PBE
Structure: relaxed

Structure (POSCAR):
```
GaSbTe2P
1.0
5.2646 0.0000 0.0000
0.0000 5.2646 0.0000
0.0000 0.0000 5.3151
Ga Sb Te P
1 1 2 1
Direct
0.0000 0.0000 0.0000 Ga
0.0000 0.0000 0.5000 Sb
0.0000 0.5000 0.0000 Te
0.5000 0.0000 0.0000 Te
0.5000 0.5000 0.5000 P
```

Calculated values
density of states at the Fermi level	5.6	states/eV/f.u.
crystal system	tetragonal
E_form (uncorrected)	85	kJ per mole of atoms
magnetization	0.00	μB/f.u.
energy above the lowest structure with this stoichiometry	43.63	kJ/mol of atoms

***

Compound: GdCuBiPt
Source: Alexandria via LeMat-Bulk
Functional: GGA-PBE
Structure: relaxed

Structure (POSCAR):
```
GdCuBiPt
1.0
6.9536 0.0000 0.0000
0.0000 6.9536 0.0000
0.0000 0.0000 6.9536
Gd Cu Bi Pt
4 4 4 4
Direct
0.0000 0.0000 0.0000 Gd
0.0000 0.5000 0.5000 Gd
0.5000 0.0000 0.5000 Gd
0.5000 0.5000 0.0000 Gd
0.2500 0.2500 0.2500 Cu
0.2500 0.7500 0.7500 Cu
0.7500 0.2500 0.7500 Cu
0.7500 0.7500 0.2500 Cu
0.0000 0.0000 0.5000 Bi
0.0000 0.5000 0.0000 Bi
0.5000 0.0000 0.0000 Bi
0.5000 0.5000 0.5000 Bi
0.2500 0.2500 0.7500 Pt
0.2500 0.7500 0.2500 Pt
0.7500 0.2500 0.2500 Pt
0.7500 0.7500 0.7500 Pt
```

Calculated values
energy of formation from the pure elements	-0.504	eV per atom
density of states at the Fermi level	3.0	states/eV/f.u.
crystal system	cubic
magnetization	6.93	μB/f.u.

***

Compound: Er3Tm3Pb2
Source: Alexandria via LeMat-Bulk
Functional: GGA-PBE
Structure: relaxed

Structure (POSCAR):
```
Er3Tm3Pb2
1.0
4.8086 0.0000 0.0000
0.0000 4.8139 0.0000
0.0000 0.0000 9.6307
Er Tm Pb
3 3 2
Direct
0.0000 0.0000 0.0000 Er
0.0000 0.0000 0.5000 Er
0.5000 0.5000 0.0000 Er
0.5000 0.0000 0.2504 Tm
0.5000 0.0000 0.7496 Tm
0.5000 0.5000 0.5000 Tm
0.0000 0.5000 0.2503 Pb
0.0000 0.5000 0.7497 Pb
```

Calculated values
energy of formation from the pure elements	-0.247	eV per atom
density of states at the Fermi level	10.0	states/eV/f.u.
crystal system	orthorhombic
magnetization	1.56	μB/f.u.

***

Compound: MgTi3Rh4
Source: Alexandria via LeMat-Bulk
Functional: GGA-PBE
Structure: relaxed

Structure (POSCAR):
```
MgTi3Rh4
1.0
2.1976 1.2688 7.1726
-2.1976 1.2688 7.1726
0.0000 -2.5376 7.1726
Mg Ti Rh
1 3 4
Direct
0.0000 0.0000 0.0000 Mg
0.2526 0.2526 0.2526 Ti
0.5000 0.5000 0.5000 Ti
0.7474 0.7474 0.7474 Ti
0.1288 0.1288 0.1288 Rh
0.3786 0.3786 0.3786 Rh
0.6214 0.6214 0.6214 Rh
0.8712 0.8712 0.8712 Rh
```

Calculated values
energy of formation from the pure elements	-0.761	eV per atom
density of states at the Fermi level	8.3	states/eV/f.u.
crystal system	trigonal
magnetization	0.00	μB/f.u.

***

Compound: ZnSiPd4
Source: Alexandria via LeMat-Bulk
Functional: GGA-PBE
Structure: relaxed

Structure (POSCAR):
```
ZnSiPd4
1.0
5.1150 0.0000 0.0000
0.0000 7.5548 0.0000
-1.5905 0.0000 4.6257
Zn Si Pd
2 2 8
Direct
0.0000 0.0000 0.0000 Zn
0.0000 0.5000 0.5000 Zn
0.5000 0.0000 0.5000 Si
0.5000 0.5000 0.0000 Si
0.1218 0.1573 0.5759 Pd
0.1218 0.3427 0.0759 Pd
0.3948 0.6648 0.3830 Pd
0.3948 0.8352 0.8830 Pd
0.6052 0.1648 0.1170 Pd
0.6052 0.3352 0.6170 Pd
0.8782 0.6573 0.9241 Pd
0.8782 0.8427 0.4241 Pd
```

Calculated values
density of states at the Fermi level	2.5	states/eV/f.u.
crystal system	monoclinic
E_form (uncorrected)	-42	kJ per mole of atoms
magnetization	0.00	μB/f.u.
energy above the lowest structure with this stoichiometry	12.28	kJ/mol of atoms

***

Compound: TbNb2B6
Source: Alexandria via LeMat-Bulk
Functional: GGA-PBE
Structure: relaxed

Structure (POSCAR):
```
TbNb2B6
1.0
-1.6123 3.6515 4.2595
1.6123 -3.6515 4.2595
1.6123 3.6515 -4.2595
Tb Nb B
1 2 6
Direct
0.0000 0.0000 0.0000 Tb
0.3387 0.8387 0.5000 Nb
0.6613 0.1613 0.5000 Nb
0.0674 0.3035 0.7639 B
0.3449 0.5000 0.8449 B
0.4604 0.6965 0.7639 B
0.5396 0.3035 0.2361 B
0.6551 0.5000 0.1551 B
0.9326 0.6965 0.2361 B
```

Calculated values
energy of formation from the pure elements	-0.528	eV per atom
density of states at the Fermi level	2.6	states/eV/f.u.
crystal system	orthorhombic
magnetization	0.00	μB/f.u.
energy above the lowest structure with this stoichiometry	14.75	kJ/mol of atoms

***

Compound: LaRh
Source: Alexandria via LeMat-Bulk
Functional: GGA-PBE
Structure: relaxed

Structure (POSCAR):
```
LaRh
1.0
11.2001 0.0000 0.0000
0.0000 11.2001 0.0000
0.0000 0.0000 4.2196
La Rh
8 8
Direct
0.0303 0.2741 0.0000 La
0.2197 0.5305 0.5000 La
0.2741 0.9697 0.0000 La
0.4695 0.2197 0.5000 La
0.5305 0.7803 0.5000 La
0.7259 0.0303 0.0000 La
0.7803 0.4695 0.5000 La
0.9697 0.7259 0.0000 La
0.1872 0.7097 0.0000 Rh
0.2088 0.3135 0.5000 Rh
0.2903 0.1872 0.0000 Rh
0.3135 0.7912 0.5000 Rh
0.6865 0.2088 0.5000 Rh
0.7097 0.8128 0.0000 Rh
0.7912 0.6865 0.5000 Rh
0.8128 0.2903 0.0000 Rh
```

Calculated values
energy of formation from the pure elements	-0.312	eV per atom
density of states at the Fermi level	1.1	states/eV/f.u.
crystal system	tetragonal
magnetization	0.00	μB/f.u.

***

Compound: DyYBeCd
Source: Alexandria via LeMat-Bulk
Functional: GGA-PBE
Structure: relaxed

Structure (POSCAR):
```
DyYBeCd
1.0
7.2119 0.0000 0.0000
0.0000 7.2119 0.0000
0.0000 0.0000 7.2119
Dy Y Be Cd
4 4 4 4
Direct
0.0000 0.0000 0.0000 Dy
0.0000 0.5000 0.5000 Dy
0.5000 0.0000 0.5000 Dy
0.5000 0.5000 0.0000 Dy
0.0000 0.0000 0.5000 Y
0.0000 0.5000 0.0000 Y
0.5000 0.0000 0.0000 Y
0.5000 0.5000 0.5000 Y
0.2500 0.2500 0.7500 Be
0.2500 0.7500 0.2500 Be
0.7500 0.2500 0.2500 Be
0.7500 0.7500 0.7500 Be
0.2500 0.2500 0.2500 Cd
0.2500 0.7500 0.7500 Cd
0.7500 0.2500 0.7500 Cd
0.7500 0.7500 0.2500 Cd
```

Calculated values
energy of formation from the pure elements	-0.053	eV per atom
density of states at the Fermi level	3.7	states/eV/f.u.
crystal system	cubic
magnetization	0.00	μB/f.u.

***

Compound: K2LaP
Source: Alexandria via LeMat-Bulk
Functional: GGA-PBE
Structure: relaxed

Structure (POSCAR):
```
K2LaP
1.0
3.7193 0.0000 0.0000
-1.8596 3.2210 0.0000
0.0000 0.0000 37.6982
K La P
6 3 3
Direct
0.0000 0.0000 0.2287 K
0.0000 0.0000 0.7713 K
0.3333 0.6667 0.4379 K
0.3333 0.6667 0.8954 K
0.6667 0.3333 0.1046 K
0.6667 0.3333 0.5621 K
0.0000 0.0000 0.0000 La
0.3333 0.6667 0.6667 La
0.6667 0.3333 0.3333 La
0.0000 0.0000 0.5000 P
0.3333 0.6667 0.1667 P
0.6667 0.3333 0.8333 P
```

Calculated values
energy of formation from the pure elements	0.382	eV per atom
density of states at the Fermi level	6.4	states/eV/f.u.
crystal system	trigonal
magnetization	0.00	μB/f.u.

***

Compound: LiAlGe
Source: Alexandria via LeMat-Bulk
Functional: GGA-PBE
Structure: relaxed

Structure (POSCAR):
```
LiAlGe
1.0
2.9762 0.0000 0.0000
0.0000 2.9762 0.0000
0.0000 0.0000 11.8408
Li Al Ge
2 2 2
Direct
0.0000 0.0000 0.0000 Li
0.5000 0.5000 0.5000 Li
0.0000 0.0000 0.6785 Al
0.5000 0.5000 0.1785 Al
0.0000 0.0000 0.3323 Ge
0.5000 0.5000 0.8323 Ge
```

Calculated values
energy of formation from the pure elements	-0.069	eV per atom
density of states at the Fermi level	0.9	states/eV/f.u.
crystal system	tetragonal
magnetization	0.00	μB/f.u.

***

Compound: AcPm6Ho2
Source: Alexandria via LeMat-Bulk
Functional: GGA-PBE
Structure: relaxed

Structure (POSCAR):
```
AcPm6Ho2
1.0
3.6703 0.0000 0.0000
-1.8351 3.1785 0.0000
0.0000 0.0000 27.1636
Ac Pm Ho
1 6 2
Direct
0.0000 0.0000 0.0000 Ac
0.0000 0.0000 0.2251 Pm
0.0000 0.0000 0.4344 Pm
0.0000 0.0000 0.5656 Pm
0.0000 0.0000 0.7749 Pm
0.3333 0.6667 0.1172 Pm
0.3333 0.6667 0.8828 Pm
0.3333 0.6667 0.3320 Ho
0.3333 0.6667 0.6680 Ho
```

Calculated values
energy of formation from the pure elements	0.068	eV per atom
density of states at the Fermi level	14.3	states/eV/f.u.
crystal system	hexagonal
magnetization	0.00	μB/f.u.
energy above the lowest structure with this stoichiometry	0.72	kJ/mol of atoms

***

Compound: ErTiRhAu
Source: Alexandria via LeMat-Bulk
Functional: GGA-PBE
Structure: relaxed

Structure (POSCAR):
```
ErTiRhAu
1.0
6.6839 0.0000 0.0000
0.0000 6.6839 0.0000
0.0000 0.0000 6.6839
Er Ti Rh Au
4 4 4 4
Direct
0.0000 0.0000 0.0000 Er
0.0000 0.5000 0.5000 Er
0.5000 0.0000 0.5000 Er
0.5000 0.5000 0.0000 Er
0.0000 0.0000 0.5000 Ti
0.0000 0.5000 0.0000 Ti
0.5000 0.0000 0.0000 Ti
0.5000 0.5000 0.5000 Ti
0.2500 0.2500 0.7500 Rh
0.2500 0.7500 0.2500 Rh
0.7500 0.2500 0.2500 Rh
0.7500 0.7500 0.7500 Rh
0.2500 0.2500 0.2500 Au
0.2500 0.7500 0.7500 Au
0.7500 0.2500 0.7500 Au
0.7500 0.7500 0.2500 Au
```

Calculated values
energy of formation from the pure elements	-0.576	eV per atom
density of states at the Fermi level	2.8	states/eV/f.u.
crystal system	cubic
magnetization	0.00	μB/f.u.

***

Compound: Ac2La7Pr
Source: Alexandria via LeMat-Bulk
Functional: GGA-PBE
Structure: relaxed

Structure (POSCAR):
```
Ac2La7Pr
1.0
3.4941 -15.1895 0.0000
3.4941 15.1895 0.0000
0.0000 0.0000 3.6519
Ac La Pr
2 7 1
Direct
0.2060 0.7940 0.0000 Ac
0.7940 0.2060 0.0000 Ac
0.0000 0.0000 0.0000 La
0.1602 0.3545 0.0000 La
0.3148 0.6852 0.5000 La
0.3545 0.1602 0.0000 La
0.6455 0.8398 0.0000 La
0.6852 0.3148 0.5000 La
0.8398 0.6455 0.0000 La
0.5000 0.5000 0.5000 Pr
```

Calculated values
energy of formation from the pure elements	0.127	eV per atom
density of states at the Fermi level	17.6	states/eV/f.u.
crystal system	orthorhombic
magnetization	0.00	μB/f.u.
energy above the lowest structure with this stoichiometry	0.00	kJ/mol of atoms

***

Compound: SrTc2Ag
Source: Alexandria via LeMat-Bulk
Functional: GGA-PBE
Structure: relaxed

Structure (POSCAR):
```
SrTc2Ag
1.0
3.8205 0.0000 0.0000
0.0000 5.0647 0.0000
0.0000 0.0000 8.8163
Sr Tc Ag
2 4 2
Direct
0.0000 0.0000 0.0000 Sr
0.5000 0.5000 0.5000 Sr
0.0000 0.0000 0.4306 Tc
0.0000 0.5000 0.7731 Tc
0.5000 0.0000 0.2731 Tc
0.5000 0.5000 0.9306 Tc
0.0000 0.5000 0.2191 Ag
0.5000 0.0000 0.7191 Ag
```

Calculated values
energy of formation from the pure elements	0.648	eV per atom
density of states at the Fermi level	4.3	states/eV/f.u.
crystal system	orthorhombic
magnetization	0.00	μB/f.u.
energy above the lowest structure with this stoichiometry	29.41	kJ/mol of atoms

***

Compound: Co4NiIr7
Source: Alexandria via LeMat-Bulk
Functional: GGA-PBE
Structure: relaxed

Structure (POSCAR):
```
Co4NiIr7
1.0
4.8049 0.0000 0.0000
-0.3785 4.8802 0.0000
-1.6922 -0.1541 6.8748
Co Ni Ir
4 1 7
Direct
0.1522 0.1634 0.2336 Co
0.3238 0.6546 0.7862 Co
0.6762 0.3454 0.2138 Co
0.8478 0.8366 0.7664 Co
0.5000 0.0000 0.5000 Ni
0.0013 0.2513 0.5619 Ir
0.2125 0.6530 0.1270 Ir
0.2944 0.1464 0.9155 Ir
0.5000 0.5000 0.5000 Ir
0.7056 0.8536 0.0845 Ir
0.7875 0.3470 0.8730 Ir
0.9987 0.7487 0.4381 Ir
```

Calculated values
energy of formation from the pure elements	0.162	eV per atom
density of states at the Fermi level	15.5	states/eV/f.u.
crystal system	triclinic
magnetization	6.99	μB/f.u.

***

Compound: Tl2ClF
Source: Alexandria via LeMat-Bulk
Functional: GGA-PBE
Structure: relaxed

Structure (POSCAR):
```
Tl2ClF
1.0
4.2846 0.0000 0.0000
-2.1423 3.7106 0.0000
0.0000 0.0000 21.1427
Tl Cl F
6 3 3
Direct
0.0000 0.0000 0.2367 Tl
0.0000 0.0000 0.7633 Tl
0.3333 0.6667 0.4300 Tl
0.3333 0.6667 0.9034 Tl
0.6667 0.3333 0.0966 Tl
0.6667 0.3333 0.5700 Tl
0.0000 0.0000 0.0000 Cl
0.3333 0.6667 0.6667 Cl
0.6667 0.3333 0.3333 Cl
0.0000 0.0000 0.5000 F
0.3333 0.6667 0.1667 F
0.6667 0.3333 0.8333 F
```

Calculated values
density of states at the Fermi level	0.0	states/eV/f.u.
crystal system	trigonal
E_form (uncorrected)	-130	kJ per mole of atoms
magnetization	0.00	μB/f.u.
energy above the lowest structure with this stoichiometry	0.00	kJ/mol of atoms

***

Compound: SmBiPd6
Source: Alexandria via LeMat-Bulk
Functional: GGA-PBE
Structure: relaxed

Structure (POSCAR):
```
SmBiPd6
1.0
8.5167 0.0000 0.0000
0.0000 5.4939 0.0000
-2.3782 0.0000 6.9871
Sm Bi Pd
2 2 12
Direct
0.0000 0.0000 0.0000 Sm
0.5000 0.5000 0.0000 Sm
0.0000 0.5000 0.5000 Bi
0.5000 0.0000 0.5000 Bi
0.1504 0.0000 0.4463 Pd
0.2008 0.2411 0.8008 Pd
0.2008 0.7589 0.8008 Pd
0.2992 0.2589 0.1992 Pd
0.2992 0.7411 0.1992 Pd
0.3496 0.5000 0.5537 Pd
0.6504 0.5000 0.4463 Pd
0.7008 0.2589 0.8008 Pd
0.7008 0.7411 0.8008 Pd
0.7992 0.2411 0.1992 Pd
0.7992 0.7589 0.1992 Pd
0.8496 0.0000 0.5537 Pd
```

Calculated values
energy of formation from the pure elements	-0.264	eV per atom
density of states at the Fermi level	4.3	states/eV/f.u.
crystal system	monoclinic
magnetization	0.00	μB/f.u.
energy above the lowest structure with this stoichiometry	25.05	kJ/mol of atoms